(1)
Computed, not measured: a geometry-optimized Rb2MnPSe4 structure at the PBE level of DFT.

Results
Its energy relative to the elements, uncorrected is -471.8 kJ/mol of formula units. The crystal system is orthorhombic.

Unit cell a=6.4416 b=13.6848 c=24.7815 alpha=90.00 beta=90.00 gamma=90.00
Closest atoms and distances in Å follow each position.
Space group Fddd (No. 70, origin choice 2)
Asymmetric unit:
Rb 0.1250 0.1250 0.3050 [16 per cell]  8 Se 3.66-3.99
Mn 0.1250 0.1250 0.1250 [8 per cell]  4 Se 2.50
P 0.1250 0.1250 0.6250 [8 per cell]  4 Se 2.34
Se 0.1066 0.2800 0.8246 [32 per cell]  1 P 2.34, 1 Mn 2.50

(2)
Computed, not measured: a geometry-optimized RbSrMn2P structure at the PBE level of DFT.

Results
The crystal system is tetragonal. The formation energy comes out at 2.377 eV/atom.

Unit cell a=4.5465 b=4.5465 c=5.8945 alpha=90.00 beta=90.00 gamma=90.00
Closest atoms and distances in Å follow each position.
Space group P4/mmm (No. 123)
Asymmetric unit:
Rb 0.0000 0.0000 0.0000 [1 per cell]  4 Mn 2.27
Sr 0.0000 0.0000 0.5000 [1 per cell]  2 Rb 2.95, 4 P 3.21
Mn 0.0000 0.5000 0.0000 [2 per cell]  2 Rb 2.27
P 0.5000 0.5000 0.5000 [1 per cell]  4 Sr 3.21

(3)
Computed, not measured: a geometry-optimized Mn2ReP structure at the PBE level of DFT.

Results
The crystal system is orthorhombic. The formation energy comes out at -0.115 eV/atom.

Unit cell a=2.8177 b=4.1169 c=8.2231 alpha=90.00 beta=90.00 gamma=90.00
Closest atoms and distances in Å follow each position.
Space group Imm2 (No. 44)
Asymmetric unit:
Mn 0.0000 0.0000 0.0000 [2 per cell]  2 P 2.24
Mn 0.0000 0.5000 0.2263 [2 per cell]  4 P 2.50, 4 Mn 2.66-2.78, 4 Re 2.69-2.75
Re 0.0000 0.0000 0.4478 [2 per cell]  2 P 2.40, 6 Mn 2.53-2.69
P 0.0000 0.5000 0.7111 [2 per cell]  6 Mn 2.24-2.50, 2 Re 2.40

Number 1: density of states at the Fermi level 0.0043 states/eV per atom, DFT total energy -35.34 eV per formula unit. Number 2: density of states at the Fermi level 1.5386 states/eV per atom, DFT total energy -14.51 eV per formula unit. Number 3: density of states at the Fermi level 0.9261 states/eV per atom, DFT total energy -36.66 eV per formula unit.